The following is a DFT calculation (PBE-GGA) of TaSbIr3 after structural relaxation.

```
5
Lattice="4.7541 0.0000 0.0000 0.0000 4.7541 0.0000 0.0000 0.0000 4.7541" Properties=species:S:1:pos:R:3 pbc="T T T"
Ta 0.0000 0.0000 0.0000
Sb 2.3771 2.3771 2.3771
Ir 0.0000 2.3771 2.3771
Ir 2.3771 0.0000 2.3771
Ir 2.3771 2.3771 0.0000
```

energy relative to the lowest polymorph listed for this composition	0.522	eV per atom
total energy	-6.722	eV/atom
crystal system	cubic
uncorrected formation energy	1789	meV per atom